1.
Entry from the Alexandria database: a geometry-optimized ReBrN structure (GGA-PBE).

Space-group type ... P-1, No. 2
E_form (uncorrected) ... 70.5 meV per atom

abc: 3.449 4.971 8.825
angles: 88.57 91.06 124.77
Positions (direct):
N 0.561 0.766 0.550
Re 0.022 0.722 0.429
Br 0.502 0.740 0.201
N 0.439 0.234 0.450
Re 0.978 0.278 0.571
Br 0.498 0.260 0.799

2.
Entry from the Alexandria database: a geometry-optimized MgTl2Sn structure (GGA-PBE).

DFT formation energy ... 0.061 eV per atom
Space-group type ... R-3m, No. 166

abc: 3.387 3.387 11.349
angles: 81.42 81.42 60.00
Positions (direct):
Tl 0.092 0.092 0.724
Sn 0.000 0.000 0.000
Tl 0.908 0.908 0.276
Mg 0.500 0.500 0.500

3.
Entry from the Alexandria database: a geometry-optimized Ta2Rh2Cl structure (GGA-PBE).

Space-group type ... P4/mbm, No. 127
E_form (uncorrected) ... -57.8 meV per atom

abc: 7.780 7.780 2.922
angles: 90.00 90.00 90.00
Positions (direct):
Ta 0.353 0.147 0.500
Rh 0.858 0.642 0.000
Rh 0.358 0.858 0.000
Ta 0.853 0.353 0.500
Rh 0.642 0.142 0.000
Ta 0.147 0.647 0.500
Cl 0.500 0.500 0.000
Ta 0.647 0.853 0.500
Cl 0.000 0.000 0.000
Rh 0.142 0.358 0.000

4.
Entry from the Alexandria database: a geometry-optimized ZrCuPt2 structure (GGA-PBE).

DFT formation energy ... -0.778 eV per atom
Space-group type ... I-4m2, No. 119

abc: 5.044 5.044 3.910
angles: 67.18 67.18 45.60
Positions (direct):
Pt 0.000 0.000 0.000
Cu 0.250 0.250 0.250
Pt 0.750 0.750 0.750
Zr 0.500 0.500 0.500

no.,total moment (μB per formula unit)
1,0.00
2,0.00
3,0.00
4,0.00